(1)
First-principles (PBE) data for a relaxed structure of ZnReBr, as listed in the Alexandria database.

Summary:
E_tot, eV for the cell shown: -26.04
Formation energy (no corrections), eV/atom: 0.7914
Distance to the lowest polymorph of the same formula, meV per atom: 107.7

The structure in CIF format:
```
data_ZnReBr
_symmetry_space_group_name_H-M 'I 4 m m'
_symmetry_Int_Tables_number 107
_symmetry_space_group_name_Hall 'I 4 -2'
_cell_length_a 3.0659
_cell_length_b 3.0659
_cell_length_c 12.5530
_cell_angle_alpha 90.00
_cell_angle_beta 90.00
_cell_angle_gamma 90.00
loop_
_atom_site_label
_atom_site_type_symbol
_atom_site_fract_x
_atom_site_fract_y
_atom_site_fract_z
Zn1 Zn 0.0000 0.0000 0.0000
Re1 Re 0.0000 0.0000 0.6196
Br1 Br 0.0000 0.0000 0.2506
```

---

(2)
First-principles (PBE) data for a relaxed structure of Zn2ReBr, as listed in the Alexandria database.

Summary:
E_tot, eV for the cell shown: -28.75
Formation energy (no corrections), eV/atom: 0.5738
Distance to the lowest polymorph of the same formula, meV per atom: 213.4

The structure in CIF format:
```
data_Zn2ReBr
_symmetry_space_group_name_H-M 'C m m m'
_symmetry_Int_Tables_number 65
_symmetry_space_group_name_Hall '-C 2 2'
_cell_length_a 5.6314
_cell_length_b 8.0377
_cell_length_c 2.9096
_cell_angle_alpha 90.00
_cell_angle_beta 90.00
_cell_angle_gamma 90.00
loop_
_atom_site_label
_atom_site_type_symbol
_atom_site_fract_x
_atom_site_fract_y
_atom_site_fract_z
Zn1 Zn 0.2500 0.2500 0.0000
Re1 Re 0.0000 0.0000 0.5000
Br1 Br 0.0000 0.5000 0.5000
```

---

(3)
First-principles (PBE) data for a relaxed structure of Zn2ReBr, as listed in the Alexandria database.

Summary:
E_tot, eV for the cell shown: -13.28
Formation energy (no corrections), eV/atom: 0.8468
Distance to the lowest polymorph of the same formula, meV per atom: 486.4

The structure in CIF format:
```
data_Zn2ReBr
_symmetry_space_group_name_H-M 'P m m m'
_symmetry_Int_Tables_number 47
_cell_length_a 2.8976
_cell_length_b 4.6195
_cell_length_c 5.0001
_cell_angle_alpha 90.00
_cell_angle_beta 90.00
_cell_angle_gamma 90.00
loop_
_symmetry_equiv_pos_as_xyz
'x,y,z'
'-x,-y,-z'
'-x,-y,z'
'x,y,-z'
'x,-y,-z'
'-x,y,z'
'-x,y,-z'
'x,-y,z'
loop_
_atom_site_label
_atom_site_type_symbol
_atom_site_fract_x
_atom_site_fract_y
_atom_site_fract_z
Zn1 Zn 0.0000 0.0000 0.0000
Zn2 Zn 0.5000 0.5000 0.0000
Re1 Re 0.0000 0.5000 0.5000
Br1 Br 0.5000 0.0000 0.5000
```

---

(4)
First-principles (PBE) data for a relaxed structure of Zn2ReBr, as listed in the Alexandria database.

Summary:
E_tot, eV for the cell shown: -27.14
Formation energy (no corrections), eV/atom: 0.7742
Distance to the lowest polymorph of the same formula, meV per atom: 413.9

The structure in CIF format:
```
data_Zn2ReBr
_symmetry_space_group_name_H-M 'C 1 2/m 1'
_symmetry_Int_Tables_number 12
_cell_length_a 9.7129
_cell_length_b 2.9522
_cell_length_c 4.8870
_cell_angle_alpha 90.00
_cell_angle_beta 103.63
_cell_angle_gamma 90.00
loop_
_symmetry_equiv_pos_as_xyz
'x,y,z'
'-x,-y,-z'
'-x,y,-z'
'x,-y,z'
'x+1/2,y+1/2,z'
'-x+1/2,-y+1/2,-z'
'-x+1/2,y+1/2,-z'
'x+1/2,-y+1/2,z'
loop_
_atom_site_label
_atom_site_type_symbol
_atom_site_fract_x
_atom_site_fract_y
_atom_site_fract_z
Zn1 Zn 0.2365 0.0000 0.2067
Re1 Re 0.0000 0.5000 0.0000
Br1 Br 0.0000 0.0000 0.5000
```

---

(5)
First-principles (PBE) data for a relaxed structure of ZnReBr, as listed in the Alexandria database.

Summary:
E_tot, eV for the cell shown: -13.34
Formation energy (no corrections), eV/atom: 0.6836
Distance to the lowest polymorph of the same formula, meV per atom: 0.0

The structure in CIF format:
```
data_ZnReBr
_symmetry_space_group_name_H-M 'P 3 m 1'
_symmetry_Int_Tables_number 156
_cell_length_a 3.0564
_cell_length_b 3.0564
_cell_length_c 6.5559
_cell_angle_alpha 90.00
_cell_angle_beta 90.00
_cell_angle_gamma 120.00
loop_
_symmetry_equiv_pos_as_xyz
'x,y,z'
'-y,x-y,z'
'-x+y,-x,z'
'-y,-x,z'
'-x+y,y,z'
'x,x-y,z'
loop_
_atom_site_label
_atom_site_type_symbol
_atom_site_fract_x
_atom_site_fract_y
_atom_site_fract_z
Zn1 Zn 0.0000 0.0000 0.0000
Re1 Re 0.6667 0.3333 0.6969
Br1 Br 0.3333 0.6667 0.4015
```

---

(6)
First-principles (PBE) data for a relaxed structure of Zn2ReBr, as listed in the Alexandria database.

Summary:
E_tot, eV for the cell shown: -28.54
Formation energy (no corrections), eV/atom: 0.5994
Distance to the lowest polymorph of the same formula, meV per atom: 239.0

The structure in CIF format:
```
data_Zn2ReBr
_symmetry_space_group_name_H-M 'C m m 2'
_symmetry_Int_Tables_number 35
_cell_length_a 2.8582
_cell_length_b 5.2995
_cell_length_c 10.1636
_cell_angle_alpha 90.00
_cell_angle_beta 90.00
_cell_angle_gamma 90.00
loop_
_symmetry_equiv_pos_as_xyz
'x,y,z'
'-x,-y,z'
'-x,y,z'
'x,-y,z'
'x+1/2,y+1/2,z'
'-x+1/2,-y+1/2,z'
'-x+1/2,y+1/2,z'
'x+1/2,-y+1/2,z'
loop_
_atom_site_label
_atom_site_type_symbol
_atom_site_fract_x
_atom_site_fract_y
_atom_site_fract_z
Zn1 Zn 0.0000 0.0000 0.0000
Zn2 Zn 0.0000 0.5000 0.2214
Re1 Re 0.0000 0.5000 0.7816
Br1 Br 0.0000 0.0000 0.5765
```